[1]
The following is a DFT calculation (PBE-GGA) of a relaxed La2Ni4Sn3Au crystal.

```
data_La2Ni4Sn3Au
_chemical_formula_sum 'La2 Ni4 Sn3 Au1'
_symmetry_space_group_name_H-M 'P -4 m 2'
_symmetry_Int_Tables_number 115
_cell_length_a 4.490
_cell_length_b 4.490
_cell_length_c 10.104
_cell_angle_alpha 90.00
_cell_angle_beta 90.00
_cell_angle_gamma 90.00
loop_
_symmetry_equiv_pos_as_xyz
'x,y,z'
'y,-x,-z'
'-x,-y,z'
'-y,x,-z'
'-x,y,z'
'-y,-x,-z'
'x,-y,z'
'y,x,-z'
loop_
_atom_site_label
_atom_site_fract_x
_atom_site_fract_y
_atom_site_fract_z
La1 0.000 0.500 0.248
Ni1 0.000 0.000 0.000
Ni2 0.000 0.500 0.630
Ni3 0.500 0.500 0.000
Sn1 0.000 0.500 0.877
Sn2 0.500 0.500 0.500
Au1 0.000 0.000 0.500
```

* energy of formation from the pure elements: -0.5187 eV per atom
* D(E_F): 6.44 states/eV/cell
* total DFT energy (no corrections): -5.35 eV/atom

---

[2]
The following is a DFT calculation (PBE-GGA) of a relaxed Cd2AgSe crystal.

```
data_Cd2AgSe
_chemical_formula_sum 'Cd2 Ag1 Se1'
_symmetry_space_group_name_H-M 'P 1 m 1'
_symmetry_Int_Tables_number 6
_cell_length_a 2.993
_cell_length_b 4.289
_cell_length_c 6.884
_cell_angle_alpha 90.00
_cell_angle_beta 90.10
_cell_angle_gamma 90.00
loop_
_symmetry_equiv_pos_as_xyz
'x,y,z'
'x,-y,z'
loop_
_atom_site_label
_atom_site_fract_x
_atom_site_fract_y
_atom_site_fract_z
Cd1 0.000 0.000 0.000
Cd2 0.499 0.500 0.245
Ag1 0.500 0.500 0.797
Se1 0.500 0.000 0.531
```

* energy relative to the elements, uncorrected: -0.006 eV per atom
* D(E_F): 1.62 states/eV/cell
* total DFT energy (no corrections): -2.05 eV/atom